Entry from Alexandria via LeMat-Bulk: a geometry-optimized InRe2Au structure (PBE-GGA).

Computed properties:
space group: Immm
D(E_F): 3.326 states/eV/f.u.
formation enthalpy at 0 K: 0.6259 eV/atom

abc: 5.5687 5.5687 5.5687
angles: 147.97 131.34 59.44
With the nearest neighbours (Å) after each atom.
Fractional coordinates of all 4 atoms:
Re  0.4992  0.4992  0.0000  6 Re 2.76-3.07, 2 In 2.86, 2 Au 2.87
Re  0.0008  0.0008  0.0000  6 Re 2.76-3.07, 2 In 2.86, 2 Au 2.87
In  0.2500  0.7500  0.5000  4 Au 2.76, 4 Re 2.86, 2 In 3.07
Au  0.7500  0.2500  0.5000  4 In 2.76, 4 Re 2.87, 2 Au 3.07

***

Entry from Alexandria via LeMat-Bulk: a geometry-optimized Sm2Ge3Pd4Au structure (PBE-GGA).

Computed properties:
space group: P-4m2
D(E_F): 5.159 states/eV/f.u.
formation enthalpy at 0 K: -0.7307 eV/atom

abc: 4.2942 4.2942 10.5903
angles: 90.00 90.00 90.00
With the nearest neighbours (Å) after each atom.
Fractional coordinates of all 10 atoms:
Pd  0.0000  0.0000  0.0000  4 Ge 2.52
Pd  0.0000  0.5000  0.3510  3 Ge 2.40-2.66, 2 Au 2.66
Pd  0.5000  0.0000  0.6490  3 Ge 2.40-2.66, 2 Au 2.66
Pd  0.5000  0.5000  0.0000  4 Ge 2.52
Au  0.5000  0.5000  0.5000  4 Pd 2.66
Ge  0.5000  0.0000  0.8760  5 Pd 2.40-2.52
Ge  0.0000  0.5000  0.1240  5 Pd 2.40-2.52
Ge  0.0000  0.0000  0.5000  4 Pd 2.66
Sm  0.0000  0.5000  0.7460  8 Pd 3.21-3.44, 6 Ge 3.33-3.38, 2 Au 3.38
Sm  0.5000  0.0000  0.2540  8 Pd 3.21-3.44, 6 Ge 3.33-3.38, 2 Au 3.38

***

Entry from Alexandria via LeMat-Bulk: a geometry-optimized Cd3InMo structure (PBE-GGA).

Computed properties:
space group: Pm-3m
D(E_F): 5.280 states/eV/f.u.
formation enthalpy at 0 K: 0.9027 eV/atom
E above lowest polymorph: 0.000 eV/f.u.

abc: 5.4197 5.4197 5.4197
angles: 90.00 90.00 90.00
With the nearest neighbours (Å) after each atom.
Fractional coordinates of all 5 atoms:
Mo  0.0000  0.0000  0.0000  6 Cd 2.71
Cd  0.5000  0.0000  0.0000  2 Mo 2.71
Cd  0.0000  0.5000  0.0000  2 Mo 2.71
Cd  0.0000  0.0000  0.5000  2 Mo 2.71
In  0.5000  0.5000  0.5000  12 Cd 3.83

***

Entry from Alexandria via LeMat-Bulk: a geometry-optimized Th2ScTe4 structure (PBE-GGA).

Computed properties:
space group: Cmcm
D(E_F): 4.985 states/eV/f.u.
uncorrected formation energy: -1.046 eV per atom

abc: 4.0771 7.3631 15.7100
angles: 90.00 90.00 106.07
With the nearest neighbours (Å) after each atom.
Fractional coordinates of all 14 atoms:
Th  0.1498  0.2997  0.0649  6 Te 3.11-3.26
Th  0.8502  0.7003  0.9351  6 Te 3.11-3.26
Th  0.8502  0.7003  0.5649  6 Te 3.11-3.26
Th  0.1498  0.2997  0.4351  6 Te 3.11-3.26
Te  0.8032  0.6063  0.3656  2 Sc 2.99, 3 Th 3.17-3.20
Te  0.1968  0.3937  0.8656  2 Sc 2.99, 3 Th 3.17-3.20
Te  0.0461  0.0922  0.2500  2 Sc 3.00, 2 Th 3.26
Te  0.9539  0.9078  0.7500  2 Sc 3.00, 2 Th 3.26
Te  0.5000  0.0000  0.5000  4 Th 3.11
Te  0.8032  0.6063  0.1344  2 Sc 2.99, 3 Th 3.17-3.20
Te  0.1968  0.3937  0.6344  2 Sc 2.99, 3 Th 3.17-3.20
Te  0.5000  0.0000  0.0000  4 Th 3.11
Sc  0.3901  0.7803  0.2500  6 Te 2.99-3.00
Sc  0.6099  0.2197  0.7500  6 Te 2.99-3.00

***

Entry from Alexandria via LeMat-Bulk: a geometry-optimized CdRu2N structure (PBE-GGA).

Computed properties:
space group: Fm-3m
D(E_F): 4.485 states/eV/f.u.
uncorrected formation energy: 1.586 eV per atom
E above lowest polymorph: 4.910 eV/f.u.

abc: 4.2989 4.2989 4.2989
angles: 60.00 60.00 60.00
With the nearest neighbours (Å) after each atom.
Fractional coordinates of all 4 atoms:
N  0.0000  0.0000  0.0000  8 Ru 2.63
Ru  0.7500  0.7500  0.7500  4 Cd 2.63, 4 N 2.63
Ru  0.2500  0.2500  0.2500  4 Cd 2.63, 4 N 2.63
Cd  0.5000  0.5000  0.5000  8 Ru 2.63

***

Entry from Alexandria via LeMat-Bulk: a geometry-optimized Na2ReBr7 structure (PBE-GGA).

Computed properties:
space group: C2/c
uncorrected formation energy: -0.617 eV per atom

abc: 8.0741 10.3730 10.3217
angles: 87.05 66.98 67.10
With the nearest neighbours (Å) after each atom.
Fractional coordinates of all 20 atoms:
Br  0.6189  0.2500  0.7500  1 Re 2.68, 2 Na 2.91
Br  0.6803  0.8014  0.4124  1 Re 2.63
Br  0.2546  0.4848  0.1833  1 Re 2.56
Br  0.0774  0.9848  0.6833  1 Re 2.56
Br  0.7700  0.1898  0.9984  1 Re 2.59
Br  0.1059  0.3014  0.9124  1 Re 2.63
Br  0.0417  0.6898  0.4984  1 Re 2.59
Br  0.8941  0.6986  0.0876  1 Re 2.63
Br  0.2300  0.8102  0.0016  1 Re 2.59
Br  0.3197  0.1986  0.5876  1 Re 2.63
Br  0.3811  0.7500  0.2500  1 Re 2.68, 2 Na 2.91
Br  0.9226  0.0152  0.3167  1 Re 2.56
Br  0.9583  0.3102  0.5016  1 Re 2.59
Br  0.7454  0.5152  0.8167  1 Re 2.56
Na  0.2779  0.0254  0.3853  5 Br 2.91-3.25
Na  0.3114  0.5254  0.8853  5 Br 2.91-3.25
Na  0.7221  0.9746  0.6147  5 Br 2.91-3.25
Na  0.6886  0.4746  0.1147  5 Br 2.91-3.25
Re  0.0494  0.7500  0.2500  7 Br 2.56-2.68
Re  0.9506  0.2500  0.7500  7 Br 2.56-2.68

***

Entry from Alexandria via LeMat-Bulk: a geometry-optimized Dy4PAuS2 structure (PBE-GGA).

Computed properties:
space group: P2/m
D(E_F): 3.439 states/eV/f.u.
uncorrected formation energy: -1.575 eV per atom

abc: 3.9497 6.9909 6.9373
angles: 71.42 90.00 90.00
With the nearest neighbours (Å) after each atom.
Fractional coordinates of all 8 atoms:
Dy  0.5000  0.7510  0.2604  3 S 2.76-2.86, 2 P 2.81, 1 Au 2.89
Dy  0.0000  0.2392  0.2621  3 S 2.77-2.84, 1 P 2.82, 2 Au 2.90
Dy  0.0000  0.7608  0.7379  3 S 2.77-2.84, 1 P 2.82, 2 Au 2.90
Dy  0.5000  0.2490  0.7396  3 S 2.76-2.86, 2 P 2.81, 1 Au 2.89
Au  0.5000  0.5000  0.0000  6 Dy 2.89-2.90
P  0.0000  0.5000  0.5000  6 Dy 2.81-2.82
S  0.0000  0.0000  0.0000  6 Dy 2.84-2.86
S  0.5000  0.0000  0.5000  6 Dy 2.76-2.77

***

Entry from Alexandria via LeMat-Bulk: a geometry-optimized BeCd2Co structure (PBE-GGA).

Computed properties:
space group: Pm
D(E_F): 1.755 states/eV/f.u.
formation enthalpy at 0 K: 0.2776 eV/atom

abc: 3.8798 3.0329 5.4064
angles: 73.75 90.00 90.00
With the nearest neighbours (Å) after each atom.
Fractional coordinates of all 4 atoms:
Co  0.0000  0.6740  0.5260  2 Be 2.17
Cd  0.5000  0.2854  0.3033  2 Be 2.62, 4 Co 2.72
Cd  0.0000  0.9594  0.9559  3 Co 2.70-2.96, 4 Be 2.76
Be  0.5000  0.5813  0.7148  2 Co 2.17

***

Q: What is the formula in the third record?
A: Cd3InMo